No. 1
VASP calculation (PBE-GGA) on a relaxed InHO crystal.

Lattice parameters (Å, degrees): 3.1769 6.3519 3.7940 90.00 90.05 90.00
With the nearest neighbours (Å) after each atom.
Positions (direct):
In1 0.5000 0.7513 0.9983  2 H 1.89-1.90
In2 0.5000 0.2513 0.0017  2 H 1.89-1.90
H1 0.4999 0.7513 0.4988  2 In 1.89-1.90
H2 0.5001 0.2513 0.5012  2 In 1.89-1.90
O1 0.0000 0.0013 0.0000  4 In 2.25
O2 0.0000 0.5013 0.0000  4 In 2.25

For the total energy, the calculation gives -4.2644 eV/atom. The value obtained for the density of states at the Fermi level is 0.040 states/eV per atom. The value obtained for the offset from the most stable computed form is 0 meV per atom.


No. 2
VASP calculation (PBE-GGA) on a relaxed InH5O4 crystal.

Lattice parameters (Å, degrees): 4.6271 7.7194 5.3524 90.00 90.00 90.00
With the nearest neighbours (Å) after each atom.
Positions (direct):
In1 0.7705 0.0000 0.0000  4 O 2.04-2.17
In2 0.2295 0.5000 0.5000  4 O 2.04-2.17
H1 0.2904 0.8665 0.8543  1 O 1.05
H2 0.2904 0.1335 0.8543  1 O 1.05
H3 0.9467 0.5000 0.0000  2 O 1.21
H4 0.2904 0.8665 0.1457  1 O 1.05
H5 0.2904 0.1335 0.1457  1 O 1.05
H6 0.7096 0.6335 0.3543  1 O 1.05
H7 0.7096 0.3665 0.3543  1 O 1.05
H8 0.0533 0.0000 0.5000  2 O 1.21
H9 0.7096 0.3665 0.6457  1 O 1.05
H10 0.7096 0.6335 0.6457  1 O 1.05
O1 0.0774 0.0000 0.7255  1 H 1.21
O2 0.4164 0.8154 0.0000  2 H 1.05
O3 0.4164 0.1846 0.0000  2 H 1.05
O4 0.0774 0.0000 0.2745  1 H 1.21
O5 0.9226 0.5000 0.2255  1 H 1.21
O6 0.5836 0.6846 0.5000  2 H 1.05
O7 0.5836 0.3154 0.5000  2 H 1.05
O8 0.9226 0.5000 0.7745  1 H 1.21

For the total energy, the calculation gives -4.9013 eV/atom. The value obtained for the density of states at the Fermi level is 0.000 states/eV per atom.


No. 3
VASP calculation (PBE-GGA) on a relaxed In3HO6 crystal.

Lattice parameters (Å, degrees): 5.3947 6.8874 6.8874 102.97 90.00 90.00
With the nearest neighbours (Å) after each atom.
Positions (direct):
In1 0.4316 0.9145 0.6656  6 O 2.14-2.27
In2 0.9316 0.6656 0.9145  6 O 2.14-2.27
In3 0.3907 0.3987 0.6013  7 O 2.20-2.34, 1 H 2.31
In4 0.8907 0.6013 0.3987  7 O 2.20-2.34, 1 H 2.31
In5 0.9316 0.0855 0.3344  6 O 2.14-2.27
In6 0.4316 0.3344 0.0855  6 O 2.14-2.27
H1 0.0981 0.2424 0.7576  2 O 1.23
H2 0.5981 0.7576 0.2424  2 O 1.23
O1 0.1600 0.6800 0.6444  4 In 2.16-2.27
O2 0.6600 0.6444 0.6800  4 In 2.16-2.27
O3 0.1452 0.3977 0.8810  1 H 1.23
O4 0.6452 0.8810 0.3977  1 H 1.23
O5 0.4174 0.0123 0.9877  2 In 2.17
O6 0.6055 0.2180 0.7820  3 In 2.27, 1 O 2.44
O7 0.1055 0.7820 0.2180  3 In 2.27, 1 O 2.44
O8 0.9174 0.9877 0.0123  2 In 2.17
O9 0.1452 0.1190 0.6023  1 H 1.23
O10 0.6452 0.6023 0.1190  1 H 1.23
O11 0.1600 0.3556 0.3200  4 In 2.16-2.27
O12 0.6600 0.3200 0.3556  4 In 2.16-2.27

For the total energy, the calculation gives -5.1548 eV/atom. The value obtained for the density of states at the Fermi level is 0.677 states/eV per atom.


No. 4
VASP calculation (PBE-GGA) on a relaxed InHO crystal.

Lattice parameters (Å, degrees): 3.0348 5.7847 7.1954 90.00 90.00 90.00
With the nearest neighbours (Å) after each atom.
Positions (direct):
H1 0.7500 0.3558 0.5221  2 In 1.96
H2 0.2500 0.1442 0.0221  2 In 1.96
H3 0.2500 0.6442 0.4779  2 In 1.96
H4 0.7500 0.8558 0.9779  2 In 1.96
O1 0.7500 0.9517 0.3219  5 In 2.26-2.46
O2 0.2500 0.5483 0.8219  5 In 2.26-2.46
O3 0.2500 0.0483 0.6781  5 In 2.26-2.46
O4 0.7500 0.4517 0.1781  5 In 2.26-2.46
In1 0.7500 0.7689 0.6187  2 H 1.96
In2 0.2500 0.7311 0.1187  2 H 1.96
In3 0.2500 0.2311 0.3813  2 H 1.96
In4 0.7500 0.2689 0.8813  2 H 1.96

For the total energy, the calculation gives -4.1241 eV/atom. The value obtained for the offset from the most stable computed form is 140 meV per atom.


No. 5
VASP calculation (PBE-GGA) on a relaxed InH3O3 crystal.

Lattice parameters (Å, degrees): 6.9822 6.9822 6.9822 109.63 109.63 109.63
With the nearest neighbours (Å) after each atom.
Positions (direct):
In1 0.0000 0.5000 0.0000  6 O 2.19-2.23
In2 0.5000 0.0000 0.0000  6 O 2.19-2.23
In3 0.0000 0.0000 0.5000  6 O 2.19-2.23
In4 0.5000 0.5000 0.5000  6 O 2.20
H1 0.8273 0.4506 0.2776  1 O 1.00
H2 0.1727 0.5494 0.7224  1 O 1.00
H3 0.0426 0.3139 0.3570  1 O 1.01
H4 0.9574 0.6861 0.6430  1 O 1.01
H5 0.2776 0.8273 0.4506  1 O 1.00
H6 0.7224 0.1727 0.5494  1 O 1.00
H7 0.3570 0.0426 0.3139  1 O 1.01
H8 0.6430 0.9574 0.6861  1 O 1.01
H9 0.4506 0.2776 0.8273  1 O 1.00
H10 0.5494 0.7224 0.1727  1 O 1.00
H11 0.3139 0.3570 0.0426  1 O 1.01
H12 0.6861 0.6430 0.9574  1 O 1.01
O1 0.8340 0.3255 0.1615  1 H 1.00
O2 0.1660 0.6745 0.8385  1 H 1.00
O3 0.1669 0.3205 0.4892  1 H 1.01
O4 0.8331 0.6795 0.5108  1 H 1.01
O5 0.1615 0.8340 0.3255  1 H 1.00
O6 0.8385 0.1660 0.6745  1 H 1.00
O7 0.4892 0.1669 0.3205  1 H 1.01
O8 0.5108 0.8331 0.6795  1 H 1.01
O9 0.3255 0.1615 0.8340  1 H 1.00
O10 0.6745 0.8385 0.1660  1 H 1.00
O11 0.3205 0.4892 0.1669  1 H 1.01
O12 0.6795 0.5108 0.8331  1 H 1.01

For the total energy, the calculation gives -5.2222 eV/atom. The value obtained for the density of states at the Fermi level is 0.000 states/eV per atom. The value obtained for the offset from the most stable computed form is 0 meV per atom.


No. 6
VASP calculation (PBE-GGA) on a relaxed InHOsO2 crystal.

Lattice parameters (Å, degrees): 3.9503 3.9714 3.9503 90.00 90.00 90.00
With the nearest neighbours (Å) after each atom.
Positions (direct):
H1 0.0000 0.5000 0.0000  2 Os 1.99
Os1 0.0000 0.0000 0.0000  4 O 1.98, 2 H 1.99
O1 0.0000 0.0000 0.5000  2 Os 1.98
O2 0.5000 0.0000 0.0000  2 Os 1.98
In1 0.5000 0.5000 0.5000  4 H 2.79, 8 O 2.80

For the total energy, the calculation gives -5.7277 eV/atom. The value obtained for the density of states at the Fermi level is 0.616 states/eV per atom.


No. 7
VASP calculation (PBE-GGA) on a relaxed RbInPHO5 crystal.

Lattice parameters (Å, degrees): 9.5334 9.5334 11.4081 90.00 90.00 90.00
With the nearest neighbours (Å) after each atom.
Positions (direct):
Rb1 0.9837 0.3144 0.2943  5 O 2.80-3.01, 1 H 3.09
Rb2 0.0163 0.6856 0.7943  5 O 2.80-3.01, 1 H 3.09
Rb3 0.8144 0.5163 0.5443  5 O 2.80-3.01, 1 H 3.09
Rb4 0.1856 0.4837 0.0443  5 O 2.80-3.01, 1 H 3.09
Rb5 0.6856 0.0163 0.2057  5 O 2.80-3.01, 1 H 3.09
Rb6 0.3144 0.9837 0.7057  5 O 2.80-3.01, 1 H 3.09
Rb7 0.5163 0.8144 0.4557  5 O 2.80-3.01, 1 H 3.09
Rb8 0.4837 0.1856 0.9557  5 O 2.80-3.01, 1 H 3.09
In1 0.5991 0.4009 0.2500  6 O 2.15-2.20
In2 0.4009 0.5991 0.7500  6 O 2.15-2.20
In3 0.9009 0.9009 0.5000  6 O 2.15-2.20
In4 0.0991 0.0991 0.0000  6 O 2.15-2.20
In5 0.1513 0.8487 0.2500  6 O 2.18-2.20
In6 0.8487 0.1513 0.7500  6 O 2.18-2.20
In7 0.3487 0.3487 0.5000  6 O 2.18-2.20
In8 0.6513 0.6513 0.0000  6 O 2.18-2.20
P1 0.8397 0.6842 0.2539  4 O 1.55-1.57
P2 0.1603 0.3158 0.7539  4 O 1.55-1.57
P3 0.1842 0.6603 0.5039  4 O 1.55-1.57
P4 0.8158 0.3397 0.0039  4 O 1.55-1.57
P5 0.3158 0.1603 0.2461  4 O 1.55-1.57
P6 0.6842 0.8397 0.7461  4 O 1.55-1.57
P7 0.6603 0.1842 0.4961  4 O 1.55-1.57
P8 0.3397 0.8158 0.9961  4 O 1.55-1.57
H1 0.1176 0.0503 0.4045  1 O 0.98
H2 0.8824 0.9497 0.9045  1 O 0.98
H3 0.5503 0.3824 0.6545  1 O 0.98
H4 0.4497 0.6176 0.1545  1 O 0.98
H5 0.9497 0.8824 0.0955  1 O 0.98
H6 0.0503 0.1176 0.5955  1 O 0.98
H7 0.3824 0.5503 0.3455  1 O 0.98
H8 0.6176 0.4497 0.8455  1 O 0.98
O1 0.8265 0.5012 0.9895  1 P 1.55
O2 0.1735 0.4988 0.4895  1 P 1.55
O3 0.0012 0.6735 0.2395  1 P 1.55
O4 0.9988 0.3265 0.7395  1 P 1.55
O5 0.4988 0.1735 0.5105  1 P 1.55
O6 0.5012 0.8265 0.0105  1 P 1.55
O7 0.6735 0.0012 0.7605  1 P 1.55
O8 0.3265 0.9988 0.2605  1 P 1.55
O9 0.7154 0.2991 0.1071  1 P 1.57
O10 0.2846 0.7009 0.6071  1 P 1.57
O11 0.7991 0.7846 0.3571  1 P 1.57
O12 0.2009 0.2154 0.8571  1 P 1.57
O13 0.7009 0.2846 0.3929  1 P 1.57
O14 0.2991 0.7154 0.8929  1 P 1.57
O15 0.7846 0.7991 0.6429  1 P 1.57
O16 0.2154 0.2009 0.1429  1 P 1.57
O17 0.7812 0.5364 0.2822  1 P 1.55
O18 0.2188 0.4636 0.7822  1 P 1.55
O19 0.0364 0.7188 0.5322  1 P 1.55
O20 0.9636 0.2812 0.0322  1 P 1.55
O21 0.4636 0.2188 0.2178  1 P 1.55
O22 0.5364 0.7812 0.7178  1 P 1.55
O23 0.7188 0.0364 0.4678  1 P 1.55
O24 0.2812 0.9636 0.9678  1 P 1.55
O25 0.7738 0.7477 0.1399  1 P 1.57
O26 0.2262 0.2523 0.6399  1 P 1.57
O27 0.2477 0.7262 0.3899  1 P 1.57
O28 0.7523 0.2738 0.8899  1 P 1.57
O29 0.2523 0.2262 0.3601  1 P 1.57
O30 0.7477 0.7738 0.8601  1 P 1.57
O31 0.7262 0.2477 0.6101  1 P 1.57
O32 0.2738 0.7523 0.1101  1 P 1.57
O33 0.4560 0.4888 0.3763  1 H 0.98
O34 0.5440 0.5112 0.8763  1 H 0.98
O35 0.9888 0.0440 0.6263  1 H 0.98
O36 0.0112 0.9560 0.1263  1 H 0.98
O37 0.5112 0.5440 0.1237  1 H 0.98
O38 0.4888 0.4560 0.6237  1 H 0.98
O39 0.0440 0.9888 0.3737  1 H 0.98
O40 0.9560 0.0112 0.8737  1 H 0.98

For the total energy, the calculation gives -6.0600 eV/atom. The value obtained for the density of states at the Fermi level is 0.000 states/eV per atom.


No. 8
VASP calculation (PBE-GGA) on a relaxed InH2PbO4 crystal.

Lattice parameters (Å, degrees): 4.8509 4.9237 4.9237 72.81 60.49 60.49
With the nearest neighbours (Å) after each atom.
Positions (direct):
In1 0.5000 0.5000 0.5000  4 O 2.12
H1 0.2157 0.2843 0.2843  2 O 1.23
H2 0.7843 0.7157 0.7157  2 O 1.23
Pb1 0.0000 0.0000 0.0000  4 O 2.40
O1 0.4203 0.1546 0.4087  1 H 1.23
O2 0.9836 0.8454 0.5913  1 H 1.23
O3 0.0164 0.4087 0.1546  1 H 1.23
O4 0.5797 0.5913 0.8454  1 H 1.23

For the total energy, the calculation gives -5.0749 eV/atom. The value obtained for the density of states at the Fermi level is 0.322 states/eV per atom.


No. 9
VASP calculation (PBE-GGA) on a relaxed In2HPdO crystal.

Lattice parameters (Å, degrees): 5.1793 2.7090 5.1793 90.00 90.00 90.00
With the nearest neighbours (Å) after each atom.
Positions (direct):
H1 0.0000 0.0000 0.0000  2 O 1.35
O1 0.0000 0.5000 0.0000  2 H 1.35
Pd1 0.5000 0.5000 0.5000  2 Pd 2.71, 8 In 2.92
In1 0.0000 0.0000 0.5000  2 H 2.59, 2 In 2.71
In2 0.5000 0.0000 0.0000  2 H 2.59, 2 In 2.71

For the total energy, the calculation gives -4.1388 eV/atom. The value obtained for the density of states at the Fermi level is 0.153 states/eV per atom.


No. 10
VASP calculation (PBE-GGA) on a relaxed Pm2InH2O6 crystal.

Lattice parameters (Å, degrees): 5.0931 5.0931 6.2451 65.94 65.94 60.00
With the nearest neighbours (Å) after each atom.
Positions (direct):
Pm1 0.7862 0.7862 0.6415  9 O 2.50-2.58
Pm2 0.2138 0.2138 0.3585  9 O 2.50-2.58
In1 0.0000 0.0000 0.0000  6 O 2.16
H1 0.4262 0.4262 0.7215  3 O 1.43
H2 0.5738 0.5738 0.2785  3 O 1.43
O1 0.7351 0.7351 0.2800  1 H 1.43
O2 0.2497 0.7351 0.2800  1 H 1.43
O3 0.7351 0.2497 0.2800  1 H 1.43
O4 0.2649 0.7503 0.7200  1 H 1.43
O5 0.7503 0.2649 0.7200  1 H 1.43
O6 0.2649 0.2649 0.7200  1 H 1.43

For the total energy, the calculation gives -6.1656 eV/atom. The value obtained for the density of states at the Fermi level is 0.437 states/eV per atom.


No. 11
VASP calculation (PBE-GGA) on a relaxed Pr6In2HO crystal.

Lattice parameters (Å, degrees): 7.1550 7.1547 10.0920 90.00 90.00 90.00
With the nearest neighbours (Å) after each atom.
Positions (direct):
Pr1 0.5000 0.2496 0.2476  1 O 2.50, 1 H 2.55
Pr2 0.5000 0.2496 0.7524  1 O 2.50, 1 H 2.55
Pr3 0.0000 0.7504 0.2524  1 O 2.50, 1 H 2.55
Pr4 0.0000 0.7504 0.7476  1 O 2.50, 1 H 2.55
Pr5 0.2459 0.9959 0.5000  1 O 2.49, 1 H 2.57
Pr6 0.7541 0.9959 0.5000  1 O 2.49, 1 H 2.57
Pr7 0.2460 0.5040 0.5000  1 O 2.49, 1 H 2.57
Pr8 0.7540 0.5040 0.5000  1 O 2.49, 1 H 2.57
Pr9 0.7460 0.4960 0.0000  1 O 2.49, 1 H 2.57
Pr10 0.2540 0.4960 0.0000  1 O 2.49, 1 H 2.57
Pr11 0.2541 0.0041 0.0000  1 O 2.49, 1 H 2.57
Pr12 0.7459 0.0041 0.0000  1 O 2.49, 1 H 2.57
In1 0.5000 0.7497 0.2499  12 Pr 3.57-3.58
In2 0.0000 0.2503 0.7499  12 Pr 3.57-3.58
In3 0.5000 0.7497 0.7501  12 Pr 3.57-3.58
In4 0.0000 0.2503 0.2501  12 Pr 3.57-3.58
H1 0.5000 0.2497 0.5000  6 Pr 2.55-2.57
H2 0.0000 0.7503 0.0000  6 Pr 2.55-2.57
O1 0.0000 0.7498 0.5000  6 Pr 2.49-2.50
O2 0.5000 0.2502 0.0000  6 Pr 2.49-2.50

For the total energy, the calculation gives -5.0982 eV/atom. The value obtained for the density of states at the Fermi level is 0.952 states/eV per atom.


No. 12
VASP calculation (PBE-GGA) on a relaxed PuIn2HO6 crystal.

Lattice parameters (Å, degrees): 5.7906 5.6984 5.9223 62.42 63.47 57.75
With the nearest neighbours (Å) after each atom.
Positions (direct):
Pu1 0.3092 0.3455 0.0294  5 O 2.07-2.20
In1 0.5347 0.5471 0.4114  5 O 2.10-2.29
In2 0.9870 0.0307 0.9777  6 O 2.16-2.29
H1 0.9400 0.5872 0.6912  1 O 0.98
O1 0.5999 0.2756 0.2207  2 In 2.10-2.16, 1 Pu 2.20
O2 0.2499 0.9495 0.2101  2 In 2.14-2.23, 1 Pu 2.15
O3 0.9176 0.6139 0.2265  1 Pu 2.10, 2 In 2.15-2.29
O4 0.3357 0.7348 0.7569  1 Pu 2.09, 2 In 2.16-2.29
O5 0.6820 0.1707 0.7605  1 Pu 2.07, 2 In 2.23-2.26
O6 0.1056 0.4066 0.7308  1 H 0.98

For the total energy, the calculation gives -7.0397 eV/atom. The value obtained for the density of states at the Fermi level is 0.643 states/eV per atom.


> Which of these has the highest total energy?

number 4